1.
The following is a PBE calculation of an optimized crystal structure of Ba2Na5Li, from the Alexandria database.

Cell: 6.1220 6.1220 17.9164 Å, 90.00 90.00 90.00°
Last column: nearest neighbours and their distance in Å.
Space group I4/mmm (No. 139)
Asymmetric unit:
Ba: 0.0000 0.0000 0.2479  9 Na 4.05-4.52, 4 Ba 4.33, 1 Li 4.44
Na: 0.0000 0.0000 0.5000  8 Na 3.55
Na: 0.0000 0.5000 0.0998  3 Na 3.55-3.58, 2 Li 3.55
Li: 0.0000 0.0000 0.0000  8 Na 3.55

Results
The calculation puts the formation energy from the elements at 0.9 kcal/mol of atoms. The calculation puts the energy above the most stable polymorph in this dataset at 0.0 meV/atom.

---

2.
The following is a PBE calculation of an optimized crystal structure of Be5V12Ge3, from the Alexandria database.

Cell: 13.4048 13.4048 13.4048 Å, 90.00 90.00 90.00°
Last column: nearest neighbours and their distance in Å.
Space group Ia-3d (No. 230)
Asymmetric unit:
Be: 0.0000 0.0000 0.0000  6 V 2.15
Be: 0.0000 0.2500 0.3750  4 V 2.19
V: 0.0210 0.0675 0.6441  2 Be 2.15-2.19
Ge: 0.0000 0.2500 0.1250  8 V 2.48-2.58

Results
The calculation puts the formation energy from the elements at 17.7 kcal/mol of atoms.

---

3.
The following is a PBE calculation of an optimized crystal structure of AcI3, from the Alexandria database.

Cell: 4.4124 12.2001 7.8722 Å, 90.00 90.00 90.00°
Last column: nearest neighbours and their distance in Å.
Space group Imm2 (No. 44)
Asymmetric unit:
Ac: 0.0000 0.0000 0.0000  6 I 3.29-3.30
I: 0.0000 0.3267 0.3405  2 Ac 3.30
I: 0.0000 0.5000 0.8093  2 Ac 3.29

Results
The value obtained for the formation energy from raw total energies is -1.51 eV/atom.

---

4.
The following is a PBE calculation of an optimized crystal structure of Pr2PbCl, from the Alexandria database.

Cell: 4.5777 4.5777 20.0638 Å, 90.00 90.00 120.00°
Last column: nearest neighbours and their distance in Å.
Space group R-3m (No. 166, hexagonal axes)
Asymmetric unit:
Pr: 0.0000 0.0000 0.2459  3 Cl 3.08, 3 Pb 3.17
Pb: 0.0000 0.0000 0.0000  6 Pr 3.17
Cl: 0.0000 0.0000 0.5000  6 Pr 3.08

Results
The value obtained for the formation energy from raw total energies is -1.00 eV/atom. The calculation puts the energy above the most stable polymorph in this dataset at 0.0 meV/atom.

---

5.
The following is a PBE calculation of an optimized crystal structure of KAsW2C, from the Alexandria database.

Cell: 4.1763 4.1763 5.2281 Å, 90.00 90.00 90.00°
Last column: nearest neighbours and their distance in Å.
Space group P4/mmm (No. 123)
Asymmetric unit:
K: 0.0000 0.0000 0.0000  4 As 2.95
As: 0.5000 0.5000 0.0000  2 C 2.61
W: 0.0000 0.5000 0.5000  2 C 2.09
C: 0.5000 0.5000 0.5000  4 W 2.09

Results
The calculation puts the formation energy from the elements at 26.8 kcal/mol of atoms.

---

6.
The following is a PBE calculation of an optimized crystal structure of Sc3InO, from the Alexandria database.

Cell: 4.7299 4.7299 23.0925 Å, 90.00 90.00 90.00°
Last column: nearest neighbours and their distance in Å.
Space group I-4m2 (No. 119)
Asymmetric unit:
Sc: 0.0000 0.0000 0.1839  2 O 2.50
Sc: 0.0000 0.2336 0.6249  1 Sc 2.21
In: 0.0000 0.0000 0.5000  4 Sc 3.09
In: 0.0000 0.5000 0.7500  8 Sc 2.81-3.15
O: 0.0000 0.5000 0.1487  6 Sc 2.50-2.67

Results
The value obtained for the formation energy from raw total energies is -0.01 eV/atom.

---

For reference, calculated volume by record: 671.5; 2408.7; 423.8; 364.1; 91.2; 516.6 Å³/cell.
For reference, total magnetic moment by record: 0.0; 0.0; 0.0; 0.0; 0.0; 0.0 μB per cell.